1.
Computed, not measured: an optimized crystal structure of Zr2Be3Tc at the PBE-GGA level of DFT.

a b c (Å): 4.9017 4.9017 12.2476
angles (deg): 90.00 90.00 120.00
Space group R-3m (No. 166, hexagonal axes)
Asymmetric unit:
Zr1 0.0000 0.0000 0.1244 x6
Be1 0.0000 0.5000 0.0000 x9
Tc1 0.0000 0.0000 0.5000 x3

Computed properties:
D(E_F): 0.62 states/eV per atom
electronic total energy: -0.2443 Ha/atom
spin magnetization: 0.00 μB/f.u.
formation energy from the elements: -207 meV per atom

---

2.
Computed, not measured: an optimized crystal structure of ZrBe2Tc at the PBE-GGA level of DFT.

a b c (Å): 3.163 3.163 5.745
angles (deg): 90.00 90.00 90.00
Space group P4mm (No. 99)
Asymmetric unit:
Zr1 0.000 0.000 0.000 x1
Be1 0.000 0.000 0.524 x1
Be2 0.500 0.500 0.330 x1
Tc1 0.500 0.500 0.725 x1

Computed properties:
D(E_F): 0.77 states/eV per atom
electronic total energy: -0.2370 Ha/atom
spin magnetization: 0.00 μB/f.u.
formation energy from the elements: 143 meV per atom
E above lowest polymorph: 397 meV per atom

---

3.
Computed, not measured: an optimized crystal structure of Zr5BeTc4 at the PBE-GGA level of DFT.

a b c (Å): 3.304 3.304 16.091
angles (deg): 90.00 90.00 90.00
Space group P4/mmm (No. 123)
Asymmetric unit:
Zr1 0.000 0.000 0.000 x1
Zr2 0.000 0.000 0.205 x2
Zr3 0.000 0.000 0.405 x2
Be1 0.500 0.500 0.500 x1
Tc1 0.500 0.500 0.102 x2
Tc2 0.500 0.500 0.309 x2

Computed properties:
D(E_F): 1.08 states/eV per atom
electronic total energy: -0.3346 Ha/atom
spin magnetization: 0.00 μB/f.u.
formation energy from the elements: -312 meV per atom

---

4.
Computed, not measured: an optimized crystal structure of ZrBeTc2 at the PBE-GGA level of DFT.

a b c (Å): 2.965 4.310 4.803
angles (deg): 90.00 94.99 90.00
Space group P2/m (No. 10)
Asymmetric unit:
Zr1 0.000 0.000 0.000 x1
Be1 0.500 0.000 0.500 x1
Tc1 0.310 0.500 0.728 x2

Computed properties:
D(E_F): 0.72 states/eV per atom
electronic total energy: -0.3009 Ha/atom
spin magnetization: 0.00 μB/f.u.
formation energy from the elements: 65 meV per atom

---

5.
Computed, not measured: an optimized crystal structure of ZrBeTc3 at the PBE-GGA level of DFT.

a b c (Å): 4.758 4.758 4.758
angles (deg): 90.00 90.00 90.00
Space group Pm-3m (No. 221)
Asymmetric unit:
Zr1 0.000 0.000 0.000 x1
Be1 0.500 0.500 0.500 x1
Tc1 0.000 0.000 0.500 x3

Computed properties:
D(E_F): 1.14 states/eV per atom
electronic total energy: -0.2366 Ha/atom
spin magnetization: 2.86 μB/f.u.
formation energy from the elements: 2236 meV per atom
E above lowest polymorph: 1959 meV per atom

---

6.
Computed, not measured: an optimized crystal structure of ZrBe2Tc at the PBE-GGA level of DFT.

a b c (Å): 7.802 3.467 4.464
angles (deg): 90.00 112.94 90.00
Space group C2/m (No. 12)
Asymmetric unit:
Zr1 0.000 0.000 0.000 x2
Be1 0.231 0.000 0.640 x4
Tc1 0.000 0.500 0.500 x2

Computed properties:
D(E_F): 0.64 states/eV per atom
electronic total energy: -0.2480 Ha/atom
spin magnetization: 0.00 μB/f.u.
formation energy from the elements: -156 meV per atom
E above lowest polymorph: 98 meV per atom

---

7.
Computed, not measured: an optimized crystal structure of ZrBeTc2 at the PBE-GGA level of DFT.

a b c (Å): 8.603 3.118 4.683
angles (deg): 90.00 106.86 90.00
Space group C2/m (No. 12)
Asymmetric unit:
Zr1 0.000 0.000 0.000 x2
Be1 0.000 0.500 0.500 x2
Tc1 0.223 0.000 0.703 x4

Computed properties:
D(E_F): 0.84 states/eV per atom
electronic total energy: -0.3044 Ha/atom
spin magnetization: 0.00 μB/f.u.
formation energy from the elements: -32 meV per atom

---

8.
Computed, not measured: an optimized crystal structure of ZrBeTc2 at the PBE-GGA level of DFT.

a b c (Å): 3.1504 3.1504 21.0766
angles (deg): 90.00 90.00 120.00
Space group R-3m (No. 166, hexagonal axes)
Asymmetric unit:
Zr1 0.0000 0.0000 0.0000 x3
Be1 0.0000 0.0000 0.5000 x3
Tc1 0.0000 0.0000 0.2310 x6

Computed properties:
D(E_F): 0.75 states/eV per atom
electronic total energy: -0.2992 Ha/atom
spin magnetization: 0.00 μB/f.u.
formation energy from the elements: 111 meV per atom

---

9.
Computed, not measured: an optimized crystal structure of ZrBe2Tc at the PBE-GGA level of DFT.

a b c (Å): 3.914 3.914 6.968
angles (deg): 90.00 90.00 90.00
Space group I4/mmm (No. 139)
Asymmetric unit:
Zr1 0.000 0.000 0.000 x2
Be1 0.000 0.500 0.250 x4
Tc1 0.000 0.000 0.500 x2

Computed properties:
D(E_F): 0.30 states/eV per atom
electronic total energy: -0.2480 Ha/atom
spin magnetization: 0.00 μB/f.u.
formation energy from the elements: -158 meV per atom
E above lowest polymorph: 95 meV per atom

---

10.
Computed, not measured: an optimized crystal structure of ZrBe2Tc at the PBE-GGA level of DFT.

a b c (Å): 2.7813 2.7813 25.6254
angles (deg): 90.00 90.00 120.00
Space group R-3m (No. 166, hexagonal axes)
Asymmetric unit:
Zr1 0.0000 0.0000 0.0000 x3
Be1 0.0000 0.0000 0.2399 x6
Tc1 0.0000 0.0000 0.5000 x3

Computed properties:
D(E_F): 0.93 states/eV per atom
electronic total energy: -0.2302 Ha/atom
spin magnetization: 0.03 μB/f.u.
formation energy from the elements: 327 meV per atom
E above lowest polymorph: 580 meV per atom

---

11.
Computed, not measured: an optimized crystal structure of ZrBeTc2 at the PBE-GGA level of DFT.

a b c (Å): 3.835 3.835 4.092
angles (deg): 90.00 90.00 90.00
Space group P4/mmm (No. 123)
Asymmetric unit:
Zr1 0.000 0.000 0.000 x1
Be1 0.500 0.500 0.000 x1
Tc1 0.000 0.500 0.500 x2

Computed properties:
D(E_F): 0.84 states/eV per atom
electronic total energy: -0.3036 Ha/atom
spin magnetization: 0.00 μB/f.u.
formation energy from the elements: -10 meV per atom

---

12.
Computed, not measured: an optimized crystal structure of ZrBeTc2 at the PBE-GGA level of DFT.

a b c (Å): 3.233 3.233 5.808
angles (deg): 90.00 90.00 90.00
Space group P4/mmm (No. 123)
Asymmetric unit:
Zr1 0.000 0.000 0.000 x1
Be1 0.000 0.000 0.500 x1
Tc1 0.500 0.500 0.297 x2

Computed properties:
D(E_F): 0.79 states/eV per atom
electronic total energy: -0.3073 Ha/atom
spin magnetization: 0.00 μB/f.u.
formation energy from the elements: -111 meV per atom